Entry from the Alexandria database: Nd6Te4Pb after structural relaxation (GGA-PBE).

Properties
Symmetry = Cmcm
DOS at the Fermi energy = 10.38 states/eV/f.u.
Final energy = -5.215 eV per atom
Formation energy (no corrections) = -1135 meV per atom
Size of the total moment = 0.0 μB/cell

Cell lengths 4.469, 7.560, 22.578 Å; angles 90.00, 90.00, 107.19 degrees
Atoms (fractional coordinates):
Nd1 0.500 0.000 0.000
Nd2 0.500 0.000 0.500
Nd3 0.059 0.119 0.333
Nd4 0.941 0.881 0.667
Nd5 0.941 0.881 0.833
Nd6 0.059 0.119 0.167
Nd7 0.768 0.536 0.398
Nd8 0.232 0.464 0.602
Nd9 0.232 0.464 0.898
Nd10 0.768 0.536 0.102
Nd11 0.330 0.659 0.250
Nd12 0.670 0.341 0.750
Te1 0.854 0.708 0.536
Te2 0.418 0.836 0.127
Te3 0.146 0.292 0.464
Te4 0.582 0.164 0.873
Te5 0.854 0.708 0.964
Te6 0.146 0.292 0.036
Te7 0.582 0.164 0.627
Te8 0.418 0.836 0.373
Pb1 0.670 0.340 0.250
Pb2 0.330 0.660 0.750

Entry from the Alexandria database: Nd4TePb2 after structural relaxation (GGA-PBE).

Properties
Symmetry = P2_1/m
DOS at the Fermi energy = 6.99 states/eV/f.u.
Final energy = -4.833 eV per atom
Formation energy (no corrections) = -600 meV per atom
Energy above the most stable polymorph in this dataset = 0.195 eV per atom
Size of the total moment = 0.0 μB/cell

Cell lengths 6.833, 6.593, 10.683 Å; angles 90.00, 106.16, 90.00 degrees
Atoms (fractional coordinates):
Nd1 0.521 0.505 0.271
Nd2 0.038 0.750 0.855
Nd3 0.962 0.250 0.145
Nd4 0.521 0.995 0.271
Nd5 0.884 0.250 0.551
Nd6 0.479 0.005 0.729
Nd7 0.479 0.495 0.729
Nd8 0.116 0.750 0.449
Te1 0.097 0.750 0.158
Te2 0.903 0.250 0.842
Pb1 0.583 0.750 0.006
Pb2 0.417 0.250 0.994
Pb3 0.284 0.250 0.448
Pb4 0.716 0.750 0.552

Entry from the Alexandria database: NdTe4Pb2 after structural relaxation (GGA-PBE).

Properties
Symmetry = Cmcm
DOS at the Fermi energy = 3.73 states/eV/f.u.
Final energy = -4.183 eV per atom
Formation energy (no corrections) = -647 meV per atom
Size of the total moment = 0.0 μB/cell

Cell lengths 4.484, 7.894, 14.686 Å; angles 90.00, 90.00, 106.50 degrees
Atoms (fractional coordinates):
Nd1 0.602 0.204 0.750
Nd2 0.398 0.796 0.250
Te1 0.783 0.566 0.138
Te2 0.783 0.566 0.362
Te3 0.217 0.434 0.862
Te4 0.217 0.434 0.638
Te5 0.954 0.909 0.750
Te6 0.046 0.091 0.250
Te7 0.500 0.000 0.000
Te8 0.500 0.000 0.500
Pb1 0.135 0.270 0.439
Pb2 0.865 0.730 0.939
Pb3 0.135 0.270 0.061
Pb4 0.865 0.730 0.561

Entry from the Alexandria database: Nd2TePb after structural relaxation (GGA-PBE).

Properties
Symmetry = P4/mmm
DOS at the Fermi energy = 3.70 states/eV/f.u.
Final energy = -4.986 eV per atom
Formation energy (no corrections) = -889 meV per atom
Energy above the most stable polymorph in this dataset = 0.162 eV per atom
Size of the total moment = 0.5 μB/cell

Cell lengths 3.778, 3.778, 8.427 Å; angles 90.00, 90.00, 90.00 degrees
Each line ends with the local moment (μB).
Atoms (fractional coordinates):
Pb1 0.500 0.500 0.500  0.00
Te1 0.500 0.500 0.000  -0.01
Nd1 0.000 0.000 0.762  0.12
Nd2 0.000 0.000 0.238  0.12

Entry from the Alexandria database: Nd2TePb after structural relaxation (GGA-PBE).

Properties
Symmetry = R3m
DOS at the Fermi energy = 2.43 states/eV/f.u.
Final energy = -5.031 eV per atom
Formation energy (no corrections) = -934 meV per atom
Energy above the most stable polymorph in this dataset = 0.117 eV per atom
Size of the total moment = 0.0 μB/cell

Cell lengths 4.493, 4.493, 8.219 Å; angles 74.14, 74.14, 60.00 degrees
Atoms (fractional coordinates):
Nd1 0.079 0.079 0.764
Nd2 0.255 0.255 0.234
Te1 0.498 0.498 0.505
Pb1 0.668 0.668 0.997

Entry from the Alexandria database: Nd4Te3Pb after structural relaxation (GGA-PBE).

Properties
Symmetry = I4/mmm
DOS at the Fermi energy = 3.38 states/eV/f.u.
Final energy = -5.288 eV per atom
Formation energy (no corrections) = -1263 meV per atom
Size of the total moment = 0.0 μB/cell

Cell lengths 6.393, 6.393, 7.843 Å; angles 114.06, 114.06, 90.00 degrees
Atoms (fractional coordinates):
Pb1 0.000 0.000 0.000
Te1 0.500 0.500 0.000
Te2 0.750 0.250 0.500
Te3 0.250 0.750 0.500
Nd1 0.000 0.500 0.000
Nd2 0.500 0.000 0.000
Nd3 0.247 0.247 0.494
Nd4 0.753 0.753 0.506

Entry from the Alexandria database: Nd3Te3Pb after structural relaxation (GGA-PBE).

Properties
Symmetry = Pm-3m
DOS at the Fermi energy = 5.77 states/eV/f.u.
Final energy = -4.969 eV per atom
Formation energy (no corrections) = -1049 meV per atom
Size of the total moment = 0.0 μB/cell

Cell lengths 6.367, 6.367, 6.367 Å; angles 90.00, 90.00, 90.00 degrees
Atoms (fractional coordinates):
Nd1 0.500 0.000 0.500
Nd2 0.500 0.500 0.000
Nd3 0.000 0.500 0.500
Te1 0.000 0.500 0.000
Te2 0.000 0.000 0.500
Te3 0.500 0.000 0.000
Pb1 0.500 0.500 0.500

Entry from the Alexandria database: Nd4TePb2 after structural relaxation (GGA-PBE).

Properties
Symmetry = I-42d
DOS at the Fermi energy = 7.43 states/eV/f.u.
Final energy = -5.028 eV per atom
Formation energy (no corrections) = -795 meV per atom
Energy above the most stable polymorph in this dataset = 0.000 eV per atom
Size of the total moment = 0.0 μB/cell

Cell lengths 8.330, 8.330, 8.330 Å; angles 109.47, 109.47, 109.47 degrees
Atoms (fractional coordinates):
Nd1 0.121 0.890 0.375
Nd2 0.625 0.746 0.515
Nd3 0.981 0.610 0.735
Nd4 0.265 0.246 0.875
Nd5 0.629 0.754 0.019
Nd6 0.769 0.254 0.879
Nd7 0.485 0.110 0.231
Nd8 0.125 0.390 0.371
Te1 0.000 0.000 0.000
Te2 0.750 0.500 0.250
Pb1 0.875 0.125 0.500
Pb2 0.500 0.375 0.625
Pb3 0.375 0.875 0.750
Pb4 0.250 0.625 0.125

Entry from the Alexandria database: NdThTePb after structural relaxation (GGA-PBE).

Properties
Symmetry = F-43m
DOS at the Fermi energy = 3.28 states/eV/f.u.
Final energy = -5.457 eV per atom
Formation energy (no corrections) = -698 meV per atom
Energy above the most stable polymorph in this dataset = 0.146 eV per atom
Size of the total moment = 0.0 μB/cell

Cell lengths 5.523, 5.523, 5.523 Å; angles 60.00, 60.00, 60.00 degrees
Atoms (fractional coordinates):
Pb1 0.500 0.500 0.500
Te1 0.000 0.000 0.000
Nd1 0.750 0.750 0.750
Th1 0.250 0.250 0.250

Entry from the Alexandria database: NdThTePb after structural relaxation (GGA-PBE).

Properties
Symmetry = R3m
DOS at the Fermi energy = 2.18 states/eV/f.u.
Final energy = -5.603 eV per atom
Formation energy (no corrections) = -844 meV per atom
Energy above the most stable polymorph in this dataset = 0.000 eV per atom
Size of the total moment = 0.0 μB/cell

Cell lengths 4.579, 4.579, 7.767 Å; angles 72.86, 72.86, 60.00 degrees
Atoms (fractional coordinates):
Nd1 0.502 0.502 0.495
Th1 0.998 0.998 0.005
Te1 0.750 0.750 0.751
Pb1 0.250 0.250 0.249

Entry from the Alexandria database: Nd6TlTe3Pb2 after structural relaxation (GGA-PBE).

Properties
Symmetry = C2/m
DOS at the Fermi energy = 6.83 states/eV/f.u.
Final energy = -4.956 eV per atom
Formation energy (no corrections) = -971 meV per atom
Size of the total moment = 0.0 μB/cell

Cell lengths 4.513, 9.150, 10.243 Å; angles 105.42, 102.72, 90.00 degrees
Atoms (fractional coordinates):
Nd1 0.333 0.917 0.667
Nd2 0.668 0.578 0.336
Nd3 0.667 0.083 0.333
Nd4 0.999 0.252 0.998
Nd5 0.001 0.748 0.002
Nd6 0.332 0.422 0.664
Tl1 0.500 0.000 0.000
Te1 0.500 0.500 0.000
Te2 0.832 0.169 0.665
Te3 0.168 0.831 0.335
Pb1 0.835 0.671 0.670
Pb2 0.165 0.329 0.330

Entry from the Alexandria database: Nd2Tl3Te6Pb after structural relaxation (GGA-PBE).

Properties
Symmetry = C2/m
DOS at the Fermi energy = 7.46 states/eV/f.u.
Final energy = -4.065 eV per atom
Formation energy (no corrections) = -799 meV per atom
Size of the total moment = 0.0 μB/cell

Cell lengths 7.990, 7.990, 8.349 Å; angles 99.15, 99.15, 120.03 degrees
Atoms (fractional coordinates):
Nd1 0.333 0.667 0.000
Nd2 0.667 0.333 0.000
Tl1 0.164 0.836 0.500
Tl2 0.836 0.164 0.500
Tl3 0.500 0.500 0.500
Te1 0.923 0.580 0.771
Te2 0.731 0.731 0.225
Te3 0.077 0.420 0.229
Te4 0.580 0.923 0.771
Te5 0.269 0.269 0.775
Te6 0.420 0.077 0.229
Pb1 0.000 0.000 0.000